No. 1
The following is a DFT calculation (PBE-GGA) of Sb2HAu after structural relaxation.

POSCAR file:
```
Sb2HAu
1.0
4.1448 -2.2171 -0.8609
0.3331 -4.7365 0.5390
0.4523 -2.8152 -3.8348
H Au Sb
1 1 2
Direct
0.0000 0.0000 0.0000
0.5000 0.5000 0.5000
0.7500 0.7500 0.7500
0.2500 0.2500 0.2500
```

## Properties
Space-group type ... Fm-3m, No. 225
Fermi-level density of states ... 0.03 states/eV/atom
E above lowest polymorph ... 0.210 eV/atom

***

No. 2
The following is a DFT calculation (PBE-GGA) of Sb2HAu after structural relaxation.

POSCAR file:
```
Sb2HAu
1.0
-3.2174 5.5810 -2.4137
1.0092 -2.2028 -6.4385
-3.9578 0.0875 -4.3254
Sb Au H
4 2 2
Direct
0.5553 0.1250 0.2500
0.3750 0.4447 0.7500
0.1947 0.6250 0.2500
0.8750 0.8053 0.7500
0.7500 0.2500 0.5000
0.0000 0.0000 0.0000
0.2500 0.7500 0.5000
0.5000 0.5000 0.0000
```

## Properties
Space-group type ... I-42d, No. 122
Fermi-level density of states ... 0.42 states/eV/atom
E above lowest polymorph ... 0.163 eV/atom

***

No. 3
The following is a DFT calculation (PBE-GGA) of Sb2HAu after structural relaxation.

POSCAR file:
```
Sb2HAu
1.0
-0.6644 -3.2163 2.8343
2.2275 -0.1067 3.7210
-4.1190 2.3870 5.0631
Sb H Au
2 1 1
Direct
0.1024 0.1024 0.6929
0.8976 0.8976 0.3071
0.0000 0.0000 0.0000
0.5000 0.5000 0.5000
```

## Properties
Space-group type ... R-3m, No. 166
Fermi-level density of states ... 0.52 states/eV/atom
E above lowest polymorph ... 0.000 eV/atom

***

No. 4
The following is a DFT calculation (PBE-GGA) of Sb3H5Au12 after structural relaxation.

POSCAR file:
```
Sb3H5Au12
1.0
-0.3360 -8.2987 -8.6382
-4.9869 -4.4044 9.9665
-6.0654 9.7067 -3.5481
Sb Au H
12 48 20
Direct
0.2500 0.1250 0.3750
0.7500 0.8750 0.6250
0.6250 0.2500 0.3750
0.8750 0.7500 0.1250
0.1250 0.2500 0.8750
0.6250 0.3750 0.7500
0.3750 0.6250 0.2500
0.1250 0.8750 0.7500
0.3750 0.7500 0.6250
0.2500 0.6250 0.8750
0.8750 0.1250 0.2500
0.7500 0.3750 0.1250
0.5920 0.5927 0.9027
0.0920 0.6893 0.4993
0.5920 0.9993 0.1893
0.9993 0.4073 0.8100
0.4993 0.3100 0.9073
0.9080 0.5973 0.9073
0.8100 0.9027 0.3107
0.3100 0.4993 0.4073
0.6900 0.1893 0.5973
0.1900 0.0973 0.6893
0.9027 0.8100 0.8107
0.5973 0.6893 0.6900
0.6893 0.5973 0.1900
0.9073 0.8100 0.4993
0.9993 0.5920 0.6893
0.1893 0.6900 0.0973
0.0927 0.1900 0.5007
0.0927 0.9027 0.0920
0.9027 0.0927 0.5920
0.1893 0.4993 0.5920
0.5007 0.6900 0.0927
0.1900 0.0927 0.0007
0.4027 0.0920 0.5927
0.5927 0.0007 0.6900
0.4027 0.3107 0.3100
0.4073 0.9993 0.3100
0.5007 0.8107 0.9080
0.0973 0.1900 0.1893
0.8107 0.5007 0.4080
0.3107 0.4027 0.8100
0.6900 0.5007 0.5927
0.0007 0.5927 0.1900
0.4993 0.1893 0.0920
0.0973 0.9073 0.4080
0.9073 0.0973 0.9080
0.0920 0.4027 0.0927
0.4080 0.4073 0.0973
0.3107 0.9080 0.0007
0.8107 0.3100 0.9027
0.5927 0.5920 0.4027
0.9080 0.3107 0.5007
0.4073 0.4080 0.5973
0.6893 0.0920 0.9993
0.0007 0.4080 0.3107
0.4080 0.0007 0.8107
0.3100 0.8107 0.4027
0.8100 0.9073 0.9993
0.5973 0.9080 0.4073
0.3750 0.2500 0.1250
0.5000 0.5000 0.0000
0.0000 0.0000 0.0000
0.3750 0.1250 0.7500
0.0000 0.5000 0.5000
0.8750 0.2500 0.6250
0.5000 0.5000 0.5000
0.8750 0.6250 0.7500
0.1250 0.3750 0.2500
0.2500 0.8750 0.1250
0.7500 0.1250 0.8750
0.5000 0.0000 0.5000
0.0000 0.0000 0.5000
0.6250 0.8750 0.2500
0.1250 0.7500 0.3750
0.6250 0.7500 0.8750
0.7500 0.6250 0.3750
0.0000 0.5000 0.0000
0.5000 0.0000 0.0000
0.2500 0.3750 0.6250
```

## Properties
Space-group type ... Ia-3d, No. 230
Fermi-level density of states ... 0.10 states/eV/atom
Energy ... -3.18 eV per atom

***

No. 5
The following is a DFT calculation (PBE-GGA) of SbH2Au2 after structural relaxation.

POSCAR file:
```
SbH2Au2
1.0
-3.6784 -3.6365 3.8049
2.3014 -5.2861 -2.8273
2.7166 -0.1469 2.4859
H Au Sb
4 4 2
Direct
0.5416 0.0416 0.0000
0.4584 0.9584 0.0000
0.9584 0.5416 0.0000
0.0416 0.4584 0.0000
0.2480 0.2520 0.5000
0.7520 0.7480 0.5000
0.2520 0.7520 0.5000
0.7480 0.2480 0.5000
0.0000 0.0000 0.0000
0.5000 0.5000 0.0000
```

## Properties
Space-group type ... P4/mbm, No. 127
Fermi-level density of states ... 0.27 states/eV/atom
E above lowest polymorph ... 0.000 eV/atom

***

No. 6
The following is a DFT calculation (PBE-GGA) of Sb3HAu after structural relaxation.

POSCAR file:
```
Sb3HAu
1.0
-2.8697 1.0566 4.5308
-2.3837 -4.9055 -0.3658
3.9953 -2.1678 3.0361
Sb H Au
3 1 1
Direct
0.0000 0.0000 0.5000
0.5000 0.0000 0.0000
0.0000 0.5000 0.0000
0.5000 0.5000 0.5000
0.0000 0.0000 0.0000
```

## Properties
Space-group type ... Pm-3m, No. 221
Fermi-level density of states ... 0.99 states/eV/atom
E above lowest polymorph ... 0.565 eV/atom

***

No. 7
The following is a DFT calculation (PBE-GGA) of SbHAu2 after structural relaxation.

POSCAR file:
```
SbHAu2
1.0
5.0777 0.0000 0.0000
0.0000 5.0777 0.0000
2.5389 2.5389 5.8109
H Sb Au
2 2 4
Direct
0.5000 0.5000 0.0000
0.2500 0.7500 0.5000
0.7500 0.2500 0.5000
0.0000 0.0000 0.0000
0.4911 0.1250 0.2500
0.2589 0.6250 0.2500
0.3750 0.5089 0.7500
0.8750 0.7411 0.7500
```

## Properties
Space-group type ... I-42d, No. 122
Fermi-level density of states ... 0.19 states/eV/atom
E above lowest polymorph ... 0.000 eV/atom

***

No. 8
The following is a DFT calculation (PBE-GGA) of SbH2Au2 after structural relaxation.

POSCAR file:
```
SbH2Au2
1.0
-1.4718 1.8552 -2.3802
1.6725 -1.7028 -2.3614
-4.6700 -4.1412 -2.7084
H Au Sb
2 2 1
Direct
0.7500 0.2500 0.5000
0.2500 0.7500 0.5000
0.6574 0.6574 0.6852
0.3426 0.3426 0.3148
0.0000 0.0000 0.0000
```

## Properties
Space-group type ... I4/mmm, No. 139
Fermi-level density of states ... 0.32 states/eV/atom
E above lowest polymorph ... 0.233 eV/atom

***

No. 9
The following is a DFT calculation (PBE-GGA) of Sb3HAu after structural relaxation.

POSCAR file:
```
Sb3HAu
1.0
4.7064 0.0000 0.0000
0.0000 4.7064 0.0000
0.0000 0.0000 4.7064
Sb H Au
3 1 1
Direct
0.0000 0.0000 0.5000
0.0000 0.5000 0.0000
0.5000 0.0000 0.0000
0.0000 0.0000 0.0000
0.5000 0.5000 0.5000
```

## Properties
Space-group type ... Pm-3m, No. 221
Fermi-level density of states ... 0.57 states/eV/atom
E above lowest polymorph ... 0.000 eV/atom

***

No. 10
The following is a DFT calculation (PBE-GGA) of SbHAu3 after structural relaxation.

POSCAR file:
```
SbHAu3
1.0
4.3792 0.0000 0.0000
0.0000 4.3792 0.0000
0.0000 0.0000 4.3792
Sb H Au
1 1 3
Direct
0.5000 0.5000 0.5000
0.0000 0.0000 0.0000
0.5000 0.0000 0.0000
0.0000 0.5000 0.0000
0.0000 0.0000 0.5000
```

## Properties
Space-group type ... Pm-3m, No. 221
Fermi-level density of states ... 0.33 states/eV/atom
E above lowest polymorph ... 0.000 eV/atom

***

No. 11
The following is a DFT calculation (PBE-GGA) of ScSbHAu2 after structural relaxation.

POSCAR file:
```
ScSbHAu2
1.0
4.2986 0.0000 0.0000
0.0000 4.2986 0.0000
0.0000 0.0000 4.5361
Au Sc H Sb
2 1 1 1
Direct
0.5000 0.0000 0.0000
0.0000 0.5000 0.0000
0.0000 0.0000 0.5000
0.0000 0.0000 0.0000
0.5000 0.5000 0.5000
```

## Properties
Space-group type ... P4/mmm, No. 123
Fermi-level density of states ... 0.41 states/eV/atom
Energy ... -4.35 eV per atom

***

No. 12
The following is a DFT calculation (PBE-GGA) of SnSb2HAu after structural relaxation.

POSCAR file:
```
SnSb2HAu
1.0
-5.3297 -1.5677 -1.2883
1.7392 -5.3945 -0.6306
-0.6286 -0.5907 3.3196
Sn Sb Au H
1 2 1 1
Direct
0.5000 0.5000 0.5000
0.0000 0.5000 0.0000
0.5000 0.0000 0.0000
0.0000 0.0000 0.0000
0.0000 0.0000 0.5000
```

## Properties
Space-group type ... P4/mmm, No. 123
Fermi-level density of states ... 0.35 states/eV/atom
Energy ... -3.67 eV per atom